The following is a PBE calculation of an optimized crystal structure of NpUBi2, from Alexandria.

a b c (Å): 7.650 7.650 7.650
angles (deg): 90.00 90.00 90.00
Space group Fm-3m (No. 225)
Unique sites:
Np  0.000  0.000  0.000 [4 per cell]
U  0.000  0.000  0.500 [4 per cell]
Bi  0.250  0.250  0.250 [8 per cell]

## Properties
As for the energy above the most stable polymorph in this dataset: 0 meV per atom. The crystal system is cubic. For the formation energy, the calculation gives 11.1 kJ/mol of atoms. Its size of the total moment is 28.946 μB/cell. The calculation puts the electronic total energy at -7.88 eV per atom.

=====

The following is a PBE calculation of an optimized crystal structure of NpVBi2, from Alexandria.

a b c (Å): 3.3415 3.3415 33.7091
angles (deg): 90.00 90.00 120.00
Space group R-3m (No. 166, hexagonal axes)
Unique sites:
Np  0.0000  0.0000  0.0000 [3 per cell]
V  0.0000  0.0000  0.5000 [3 per cell]
Bi  0.0000  0.0000  0.4163 [6 per cell]

## Properties
The crystal system is trigonal. For the formation energy, the calculation gives 61.0 kJ/mol of atoms. Its size of the total moment is 2.204 μB/cell. The calculation puts the electronic total energy at -6.82 eV per atom.

=====

The following is a PBE calculation of an optimized crystal structure of YNpBi2, from Alexandria.

a b c (Å): 7.747 7.747 7.747
angles (deg): 90.00 90.00 90.00
Space group Fm-3m (No. 225)
Unique sites:
Y  0.000  0.000  0.000 [4 per cell]
Np  0.000  0.000  0.500 [4 per cell]
Bi  0.250  0.250  0.250 [8 per cell]

## Properties
As for the energy above the most stable polymorph in this dataset: 170 meV per atom. The crystal system is cubic. For the formation energy, the calculation gives -20.8 kJ/mol of atoms. Its size of the total moment is 18.804 μB/cell. The calculation puts the electronic total energy at -7.01 eV per atom.

=====

The following is a PBE calculation of an optimized crystal structure of YNpBi2, from Alexandria.

a b c (Å): 4.4858 4.4858 22.1724
angles (deg): 90.00 90.00 120.00
Space group R-3m (No. 166, hexagonal axes)
Unique sites:
Y  0.0000  0.0000  0.0000 [3 per cell]
Np  0.0000  0.0000  0.5000 [3 per cell]
Bi  0.0000  0.0000  0.2506 [6 per cell]

## Properties
As for the energy above the most stable polymorph in this dataset: 0 meV per atom. The crystal system is trigonal. For the formation energy, the calculation gives -37.2 kJ/mol of atoms. Its size of the total moment is 11.927 μB/cell. The calculation puts the electronic total energy at -7.18 eV per atom.